## SbCl (PBE-GGA)

Data for a relaxed SbCl crystal.

Cell and atoms, written as extended XYZ:
```
4
Lattice="-3.7416 1.4120 2.8828 -0.8751 -1.5151 -4.6090 -0.6009 -5.5507 1.9388" Properties=species:S:1:pos:R:3 pbc="T T T"
Cl -1.9808 -1.9271 -1.6270
Cl -3.2367 -3.7268 1.8397
Sb 0.0000 0.0000 0.0000
Sb -0.3004 -2.7754 0.9694
```

Values from the calculation:
Offset from the most stable computed form ... 0.594 eV/atom
Energy relative to the elements, uncorrected ... 23 kJ/mol of formula units

---

## K2DyTiS4 (PBE-GGA)

Data for a relaxed K2DyTiS4 crystal.

Cell and atoms, written as extended XYZ:
```
8
Lattice="6.9188 -0.1231 -0.1886 -3.0595 6.2069 0.1886 -3.0595 -2.3252 5.7580" Properties=species:S:1:pos:R:3 pbc="T T T"
K 0.4000 4.0123 1.4867
K 0.0000 0.0000 0.0000
Dy 0.4000 -0.2537 4.2713
Ti -3.0595 1.9408 2.9733
S 1.5864 1.2335 2.4943
S -2.1187 -0.1285 3.6250
S 4.2993 3.0112 0.7912
S -2.1672 3.4010 4.6054
```

Values from the calculation:
Energy relative to the elements, uncorrected ... -1090 kJ/mol of formula units

---

## Pu12Ir5Ru2 (PBE-GGA)

Data for a relaxed Pu12Ir5Ru2 crystal.

Cell and atoms, written as extended XYZ:
```
19
Lattice="8.4596 0.0000 0.0000 -4.2298 9.7706 1.3658 0.0000 -1.9218 4.7804" Properties=species:S:1:pos:R:3 pbc="T T T"
Pu 4.2298 6.1369 5.3900
Pu -1.8578 4.0844 4.5309
Pu 1.8578 4.0844 4.5309
Pu -1.9634 7.2943 3.0746
Pu 1.9634 7.2943 3.0746
Pu 0.0000 6.3590 5.4349
Pu 4.2298 1.4898 0.7113
Pu 6.1932 0.5546 3.0716
Pu 2.2665 0.5546 3.0716
Pu 6.0876 3.7645 1.6152
Pu 2.3720 3.7645 1.6152
Pu 0.0000 1.7120 0.7561
Ir 0.0000 2.1631 3.7152
Ir 0.0000 5.4391 2.2875
Ir 0.0000 -0.9609 2.3902
Ir 4.2298 2.4097 3.8587
Ir 4.2298 5.6857 2.4309
Ru 6.4199 0.0000 0.0000
Ru 2.0397 0.0000 0.0000
```

Values from the calculation:
E_form ... -4.50 kcal/mol of atoms

---

## La2PrY5Sc (PBE-GGA)

Data for a relaxed La2PrY5Sc crystal.

Cell and atoms, written as extended XYZ:
```
18
Lattice="5.6579 0.0000 0.0000 -2.8289 9.9918 0.0000 0.0000 0.0000 10.5690" Properties=species:S:1:pos:R:3 pbc="T T T"
La 2.8290 7.7147 8.5906
La 0.0000 2.3191 7.7514
La 0.0000 2.2771 3.3061
La 2.8290 7.6726 2.4669
Pr 2.8289 1.7530 10.1347
Pr 0.0000 8.2388 4.8502
Y 0.0000 7.4250 0.1977
Y 2.8290 4.4936 8.7465
Y 0.0000 9.6476 7.8188
Y 0.0000 5.8856 7.4117
Y 2.8290 9.6933 5.4711
Y 2.8289 2.5668 5.4822
Y 0.0000 5.4982 3.4620
Y 2.8289 0.3442 2.5343
Y 2.8289 4.1062 2.1272
Y 0.0000 0.2985 0.1866
Sc 2.8290 6.0749 5.4312
Sc 0.0000 3.9169 0.1467
```

Values from the calculation:
E_form ... 3.55 kcal/mol of atoms

---

## Tb2Nd3HoAs6 (PBE-GGA)

Data for a relaxed Tb2Nd3HoAs6 crystal.

Cell and atoms, written as extended XYZ:
```
12
Lattice="-3.0315 1.3296 -6.4783 1.7577 -6.8090 1.8636 -5.8032 0.9656 4.2738" Properties=species:S:1:pos:R:3 pbc="T T T"
Tb 0.1607 -4.0951 -0.9181
Tb -1.4344 -1.3843 -3.6966
Nd -1.9435 -4.9673 2.6076
Nd -5.1334 0.4535 -2.9485
Nd -3.5384 -2.2569 -0.1705
Ho 0.0000 0.0000 0.0000
As -6.1599 -2.0453 -1.6192
As -2.3538 -3.8677 -2.4222
As -0.9170 -2.4685 1.2783
As -4.5694 -4.7482 1.1511
As -4.7231 -0.6461 2.0812
As -2.5075 0.2344 -1.4921
```

Values from the calculation:
E_form ... -35.04 kcal/mol of atoms

---

## LaZnPt2 (PBE-GGA)

Data for a relaxed LaZnPt2 crystal.

Cell and atoms, written as extended XYZ:
```
4
Lattice="-0.0548 -0.7850 3.2762 3.4634 0.5510 0.1899 2.3684 6.9165 1.6968" Properties=species:S:1:pos:R:3 pbc="T T T"
La 4.3465 5.2081 3.0532
Pt 3.4141 0.8297 0.2559
Pt 2.9653 3.4550 0.8774
Zn 1.4306 1.4744 2.1098
```

Values from the calculation:
E_form ... -16.69 kcal/mol of atoms

---

## La2HfMg (PBE-GGA)

Data for a relaxed La2HfMg crystal.

Cell and atoms, written as extended XYZ:
```
4
Lattice="-0.1253 1.0903 -3.2812 -1.7545 -2.8493 -0.8798 -8.5080 4.6603 1.8735" Properties=species:S:1:pos:R:3 pbc="T T T"
Mg -0.9399 -0.8795 -2.0805
Hf -5.1939 1.4507 -1.1438
La -6.3099 3.4563 1.3895
La -2.1981 1.2040 0.4840
```

Values from the calculation:
E_form ... 1.92 kcal/mol of atoms

---

## BeTlV2 (PBE-GGA)

Data for a relaxed BeTlV2 crystal.

Cell and atoms, written as extended XYZ:
```
4
Lattice="-2.6897 -1.9499 2.8612 -2.7882 2.4067 2.3784 -4.3040 -0.1876 -0.8145" Properties=species:S:1:pos:R:3 pbc="T T T"
Be 0.0000 0.0000 0.0000
Tl -4.8909 0.1346 2.2125
V -2.4455 0.0673 1.1063
V -7.3364 0.2020 3.3188
```

Values from the calculation:
Offset from the most stable computed form ... 0.000 eV/atom
E_form ... 14.62 kcal/mol of atoms

---

## Pm3Sm4Ho2 (PBE-GGA)

Data for a relaxed Pm3Sm4Ho2 crystal.

Cell and atoms, written as extended XYZ:
```
9
Lattice="-2.2402 -1.9140 2.1050 2.8862 -1.5965 -1.4947 14.6906 6.4390 21.4891" Properties=species:S:1:pos:R:3 pbc="T T T"
Pm 14.4318 6.3255 21.1104
Pm 4.7178 2.0679 6.9011
Pm 9.0900 2.4090 14.9791
Sm 7.9834 3.4992 11.6779
Sm 5.8524 0.9899 10.2432
Sm 2.6102 -0.4311 5.5006
Sm 11.2627 4.9365 16.4748
Ho 0.7545 -1.2445 2.7861
Ho 12.2887 3.8110 19.6581
```

Values from the calculation:
Offset from the most stable computed form ... 0.050 eV/atom
E_form ... 1.53 kcal/mol of atoms

---

## CePrCoCl (PBE-GGA)

Data for a relaxed CePrCoCl crystal.

Cell and atoms, written as extended XYZ:
```
4
Lattice="-3.3917 -1.9437 -0.0490 3.3570 -1.9248 0.5595 0.4783 2.9370 7.3718" Properties=species:S:1:pos:R:3 pbc="T T T"
Ce 2.8798 -1.8377 0.9560
Pr -0.8817 0.6885 4.9268
Co 1.2148 0.9234 6.8504
Cl -1.8227 -1.5484 2.8310
```

Values from the calculation:
Energy relative to the elements, uncorrected ... -317 kJ/mol of formula units

---

DOS at the Fermi energy? In order: 0.75; 0.57; 3.71; 1.36; 0.14; 0.48; 1.31; 1.07; 1.85; 1.50 states/eV/atom.